No. 1
Below is a crystal of TlAs5 relaxed with PBEsol, with properties calculated at the meta-GGA SCAN level.

Cell and atoms, written as POSCAR:
```
TlAs5
1.0
3.466 0.000 0.000
0.000 3.466 0.000
0.000 0.000 10.433
Tl As
1 5
Cartesian
0.000 0.000 0.000
0.000 0.000 3.450
0.000 0.000 6.983
1.733 1.733 2.336
1.733 1.733 5.217
1.733 1.733 8.097
```

Summary:
calculated formation energy: 314.1 meV/atom
distance to the lowest polymorph of the same formula: 0.162 eV/atom
magnetization: 0.00 μB per atom
N(E_F): 3.22 states/eV/cell

---

No. 2
Below is a crystal of TlAs5 relaxed with PBEsol, with properties calculated at the meta-GGA SCAN level.

Cell and atoms, written as POSCAR:
```
TlAs5
1.0
11.817 0.000 0.000
0.000 3.502 0.000
-3.040 0.000 6.609
Tl As
2 10
Cartesian
0.000 0.000 0.000
5.908 1.751 0.000
-0.990 1.751 4.777
1.574 1.751 2.744
0.837 0.000 4.778
2.916 0.000 1.138
4.090 1.751 2.685
4.918 0.000 4.777
7.482 0.000 2.744
6.746 1.751 4.778
8.825 1.751 1.138
9.998 0.000 2.685
```

Summary:
calculated formation energy: 184.7 meV/atom
distance to the lowest polymorph of the same formula: 0.032 eV/atom
magnetization: 0.00 μB per atom
N(E_F): 3.35 states/eV/cell

---

No. 3
Below is a crystal of TlAs2 relaxed with PBEsol, with properties calculated at the meta-GGA SCAN level.

Cell and atoms, written as POSCAR:
```
TlAs2
1.0
3.514 0.000 0.000
0.000 16.436 0.000
0.000 0.000 5.155
Tl As
4 8
Cartesian
0.000 1.200 1.289
0.000 15.236 3.866
1.757 7.018 3.866
1.757 9.418 1.289
0.000 3.543 3.866
0.000 6.375 1.289
0.000 10.061 3.866
0.000 12.892 1.289
1.757 1.843 3.866
1.757 4.674 1.289
1.757 11.761 3.866
1.757 14.593 1.289
```

Summary:
calculated formation energy: 103.5 meV/atom
magnetization: 0.00 μB per atom
N(E_F): 3.82 states/eV/cell

---

No. 4
Below is a crystal of Tl5As relaxed with PBEsol, with properties calculated at the meta-GGA SCAN level.

Cell and atoms, written as POSCAR:
```
Tl5As
1.0
11.820 0.000 0.000
0.000 3.988 0.000
-2.001 0.000 6.886
Tl As
10 2
Cartesian
0.000 0.000 0.000
1.044 1.994 2.402
0.316 1.994 5.589
3.592 0.000 1.297
2.864 0.000 4.484
5.910 1.994 0.000
6.954 0.000 2.402
6.226 0.000 5.589
9.502 1.994 1.297
8.774 1.994 4.484
-1.001 0.000 3.443
4.909 1.994 3.443
```

Summary:
calculated formation energy: 38.3 meV/atom
distance to the lowest polymorph of the same formula: 0.000 eV/atom
magnetization: 0.00 μB per atom
N(E_F): 3.78 states/eV/cell

---

No. 5
Below is a crystal of Tl17As12 relaxed with PBEsol, with properties calculated at the meta-GGA SCAN level.

Cell and atoms, written as POSCAR:
```
Tl17As12
1.0
-5.720 5.720 5.720
5.720 -5.720 5.720
5.720 5.720 -5.720
Tl As
17 12
Cartesian
0.000 0.000 0.000
1.997 1.997 -1.997
5.219 1.561 -1.561
1.997 -1.997 1.997
5.219 -1.561 1.561
6.221 1.561 1.561
1.561 5.219 -1.561
1.561 -1.561 5.219
-1.997 1.997 1.997
4.159 4.159 0.501
4.159 0.501 4.159
-1.561 5.219 1.561
-1.561 1.561 5.219
3.723 3.723 3.723
1.561 6.221 1.561
1.561 1.561 6.221
0.501 4.159 4.159
8.442 1.197 -1.197
8.442 -1.197 1.197
4.523 4.523 -2.722
4.523 -2.722 4.523
2.999 1.197 1.197
1.197 2.999 1.197
1.197 1.197 2.999
1.197 8.442 -1.197
1.197 -1.197 8.442
-2.722 4.523 4.523
-1.197 8.442 1.197
-1.197 1.197 8.442
```

Summary:
calculated formation energy: 125.0 meV/atom
magnetization: 0.00 μB per atom
N(E_F): 10.16 states/eV/cell

---

No. 6
Below is a crystal of TlAs2 relaxed with PBEsol, with properties calculated at the meta-GGA SCAN level.

Cell and atoms, written as POSCAR:
```
TlAs2
1.0
3.540 0.000 0.000
-1.770 3.066 0.000
0.000 0.000 6.771
Tl As
1 2
Cartesian
0.000 0.000 0.000
0.000 2.044 2.663
1.770 1.022 4.108
```

Summary:
calculated formation energy: 25.8 meV/atom
magnetization: 0.00 μB per atom
N(E_F): 1.08 states/eV/cell

---

No. 7
Below is a crystal of Tl5As relaxed with PBEsol, with properties calculated at the meta-GGA SCAN level.

Cell and atoms, written as POSCAR:
```
Tl5As
1.0
6.043 0.000 0.000
-3.022 5.234 0.000
0.000 0.000 5.148
Tl As
5 1
Cartesian
-2.073 3.590 0.000
0.949 1.643 0.000
0.000 3.489 2.574
3.022 1.745 2.574
4.146 0.000 0.000
0.000 0.000 2.574
```

Summary:
calculated formation energy: 86.8 meV/atom
distance to the lowest polymorph of the same formula: 0.048 eV/atom
magnetization: 0.00 μB per atom
N(E_F): 2.75 states/eV/cell

---

No. 8
Below is a crystal of TlAs2 relaxed with PBEsol, with properties calculated at the meta-GGA SCAN level.

Cell and atoms, written as POSCAR:
```
TlAs2
1.0
0.000 4.069 4.069
4.069 0.000 4.069
4.069 4.069 0.000
Tl As
2 4
Cartesian
1.017 1.017 1.017
7.121 7.121 7.121
4.069 2.035 2.035
2.035 4.069 2.035
2.035 2.035 4.069
4.069 4.069 4.069
```

Summary:
calculated formation energy: 230.1 meV/atom
magnetization: 0.00 μB per atom
N(E_F): 2.08 states/eV/cell

---

No. 9
Below is a crystal of Tl5As relaxed with PBEsol, with properties calculated at the meta-GGA SCAN level.

Cell and atoms, written as POSCAR:
```
Tl5As
1.0
4.838 0.000 0.000
0.000 13.803 0.000
0.000 0.000 4.856
Tl As
10 2
Cartesian
0.000 0.000 0.000
0.000 2.176 2.428
0.000 4.727 0.000
0.000 9.076 0.000
0.000 11.627 2.428
2.419 2.175 0.000
2.419 4.726 2.428
2.419 6.901 0.000
2.419 9.077 2.428
2.419 11.628 0.000
0.000 6.901 2.428
2.419 0.000 2.428
```

Summary:
calculated formation energy: 48.7 meV/atom
distance to the lowest polymorph of the same formula: 0.010 eV/atom
magnetization: 0.00 μB per atom
N(E_F): 4.65 states/eV/cell

---

No. 10
Below is a crystal of TlAs2 relaxed with PBEsol, with properties calculated at the meta-GGA SCAN level.

Cell and atoms, written as POSCAR:
```
TlAs2
1.0
3.457 0.000 0.000
0.000 3.457 0.000
0.000 0.000 11.569
Tl As
2 4
Cartesian
0.000 0.000 0.000
1.729 1.729 5.784
0.000 0.000 3.417
0.000 0.000 8.151
1.729 1.729 2.367
1.729 1.729 9.202
```

Summary:
calculated formation energy: 100.0 meV/atom
magnetization: 0.00 μB per atom
N(E_F): 1.90 states/eV/cell

---

No. 11
Below is a crystal of TlAsW2 relaxed with PBEsol, with properties calculated at the meta-GGA SCAN level.

Cell and atoms, written as POSCAR:
```
TlAsW2
1.0
6.548 0.000 0.000
0.000 6.548 0.000
0.000 0.000 6.548
Tl As W
4 4 8
Cartesian
0.000 0.000 0.000
0.000 3.274 3.274
3.274 0.000 3.274
3.274 3.274 0.000
1.637 1.637 1.637
1.637 4.911 4.911
4.911 1.637 4.911
4.911 4.911 1.637
0.000 0.000 3.274
0.000 3.274 0.000
1.637 1.637 4.911
1.637 4.911 1.637
3.274 0.000 0.000
3.274 3.274 3.274
4.911 1.637 1.637
4.911 4.911 4.911
```

Summary:
calculated formation energy: 1005.8 meV/atom
distance to the lowest polymorph of the same formula: 0.096 eV/atom
magnetization: 0.00 μB per atom
N(E_F): 4.34 states/eV/cell

---

No. 12
Below is a crystal of TlAsW2 relaxed with PBEsol, with properties calculated at the meta-GGA SCAN level.

Cell and atoms, written as POSCAR:
```
TlAsW2
1.0
3.007 0.000 0.000
0.000 3.979 0.000
-1.084 0.000 6.100
Tl As W
1 1 2
Cartesian
0.000 0.000 0.000
0.962 0.000 3.050
-0.060 1.990 4.200
1.984 1.990 1.900
```

Summary:
calculated formation energy: 909.8 meV/atom
distance to the lowest polymorph of the same formula: 0.000 eV/atom
magnetization: 0.00 μB per atom
N(E_F): 2.29 states/eV/cell